A relaxed structure of ErNb2Pd9, computed with PBE.

The space group is P4/mmm (No. 123) and the conventional cell measures 4.0139, 4.0139 and 12.0938 Å, with angles of 90.00, 90.00 and 90.00 degrees. Symmetry generates all atoms from Er at (0.0000, 0.0000, 0.0000), Nb at (0.0000, 0.0000, 0.3336), Pd at (0.0000, 0.5000, 0.1767), Pd at (0.0000, 0.5000, 0.5000), Pd at (0.5000, 0.5000, 0.0000) and Pd at (0.5000, 0.5000, 0.3387).

As for the total magnetization: 1.2 μB per formula unit. The formation energy comes out at -6.42 eV/f.u. The calculated total energy is -6.488 eV per atom.